Entry 1:
! ScHgICl2, optimized geometry, DFT PBE-GGA; values from VASP
&SYSTEM
  ibrav = 0, nat = 5, ntyp = 4
/
ATOMIC_SPECIES
I 126.90 I.upf
Sc 44.96 Sc.upf
Hg 200.59 Hg.upf
Cl 35.45 Cl.upf
ATOMIC_POSITIONS crystal
I 0.000 0.000 0.500
Sc 0.000 0.000 0.000
Hg 0.500 0.500 0.500
Cl 0.000 0.500 0.000
Cl 0.500 0.000 0.000
CELL_PARAMETERS angstrom
-3.797 -0.739 -3.285
-0.714 -4.663 1.873
-3.764 2.131 3.871
! Fermi-level density of states = 0.63 states/eV/f.u.
! magnetic moment = 0.0 μB/cell
! calculated total energy = -3.629 eV per atom
! E_form (uncorrected) = -1254 meV/atom
! symmetry = P4/mmm (123)

***

Entry 2:
! SnHgICl, optimized geometry, DFT PBE-GGA; values from VASP
&SYSTEM
  ibrav = 0, nat = 4, ntyp = 4
/
ATOMIC_SPECIES
Sn 118.71 Sn.upf
Hg 200.59 Hg.upf
I 126.90 I.upf
Cl 35.45 Cl.upf
ATOMIC_POSITIONS crystal
Sn 0.471 0.185 0.749
Hg 0.976 0.282 0.419
I 0.968 0.004 0.069
Cl 0.471 0.649 0.701
CELL_PARAMETERS angstrom
-2.312 2.531 3.109
-4.874 -1.138 -2.697
-3.529 -5.815 2.188
! Fermi-level density of states = 0.00 states/eV/f.u.
! magnetic moment = 0.0 μB/cell
! calculated total energy = -2.430 eV per atom
! E_form (uncorrected) = -504 meV/atom
! symmetry = P1 (1)

***

Entry 3:
! HgTe2ICl, optimized geometry, DFT PBE-GGA; values from VASP
&SYSTEM
  ibrav = 0, nat = 5, ntyp = 4
/
ATOMIC_SPECIES
I 126.90 I.upf
Te 127.60 Te.upf
Hg 200.59 Hg.upf
Cl 35.45 Cl.upf
ATOMIC_POSITIONS crystal
I 0.000 0.000 0.500
Te 0.000 0.500 0.000
Te 0.500 0.000 0.000
Hg 0.000 0.000 0.000
Cl 0.500 0.500 0.500
CELL_PARAMETERS angstrom
5.744 0.000 0.000
0.000 5.744 0.000
0.000 0.000 5.817
! Fermi-level density of states = 5.91 states/eV/f.u.
! magnetic moment = 2.5 μB/cell
! excess energy over the best structure of this formula in the dataset = 0.000 eV per atom
! calculated total energy = -1.473 eV per atom
! E_form (uncorrected) = 523 meV/atom
! symmetry = P4/mmm (123)

***

Entry 4:
! HgTeI2Cl, optimized geometry, DFT PBE-GGA; values from VASP
&SYSTEM
  ibrav = 0, nat = 5, ntyp = 4
/
ATOMIC_SPECIES
I 126.90 I.upf
Te 127.60 Te.upf
Hg 200.59 Hg.upf
Cl 35.45 Cl.upf
ATOMIC_POSITIONS crystal
I 0.000 0.500 0.000
I 0.500 0.000 0.000
Te 0.000 0.000 0.500
Hg 0.000 0.000 0.000
Cl 0.500 0.500 0.500
CELL_PARAMETERS angstrom
5.829 0.000 0.000
0.000 5.829 0.000
0.000 0.000 5.913
! Fermi-level density of states = 9.32 states/eV/f.u.
! magnetic moment = 2.5 μB/cell
! excess energy over the best structure of this formula in the dataset = 0.000 eV per atom
! calculated total energy = -1.277 eV per atom
! E_form (uncorrected) = 401 meV/atom
! symmetry = P4/mmm (123)

***

Entry 5:
! HgTeI2Cl, optimized geometry, DFT PBE-GGA; values from VASP
&SYSTEM
  ibrav = 0, nat = 5, ntyp = 4
/
ATOMIC_SPECIES
I 126.90 I.upf
Te 127.60 Te.upf
Hg 200.59 Hg.upf
Cl 35.45 Cl.upf
ATOMIC_POSITIONS crystal
I 0.000 0.500 0.000
I 0.500 0.000 0.000
Te 0.000 0.000 0.500
Hg 0.500 0.500 0.500
Cl 0.000 0.000 0.000
CELL_PARAMETERS angstrom
-5.061 -2.637 -0.994
2.135 -2.254 -4.890
1.742 -4.394 2.786
! Fermi-level density of states = 3.47 states/eV/f.u.
! magnetic moment = 0.0 μB/cell
! excess energy over the best structure of this formula in the dataset = 0.065 eV per atom
! calculated total energy = -1.213 eV per atom
! E_form (uncorrected) = 465 meV/atom
! symmetry = P4/mmm (123)

***

Entry 6:
! HgTe2ICl, optimized geometry, DFT PBE-GGA; values from VASP
&SYSTEM
  ibrav = 0, nat = 5, ntyp = 4
/
ATOMIC_SPECIES
I 126.90 I.upf
Te 127.60 Te.upf
Hg 200.59 Hg.upf
Cl 35.45 Cl.upf
ATOMIC_POSITIONS crystal
I 0.000 0.000 0.500
Te 0.000 0.500 0.000
Te 0.500 0.000 0.000
Hg 0.500 0.500 0.500
Cl 0.000 0.000 0.000
CELL_PARAMETERS angstrom
5.545 0.000 0.000
0.000 5.545 0.000
0.000 0.000 5.701
! Fermi-level density of states = 5.73 states/eV/f.u.
! magnetic moment = 0.0 μB/cell
! excess energy over the best structure of this formula in the dataset = 0.074 eV per atom
! calculated total energy = -1.399 eV per atom
! E_form (uncorrected) = 597 meV/atom
! symmetry = P4/mmm (123)